A plane-wave DFT calculation with GGA-PBE was carried out for LaErNi after structural relaxation.

Cell: 6.824 6.824 6.824 Å, 90.00 90.00 90.00°
Sites, in units of the cell vectors:
La 0.000 0.000 0.000
La 0.000 0.500 0.500
La 0.500 0.000 0.500
La 0.500 0.500 0.000
Er 0.000 0.000 0.500
Er 0.000 0.500 0.000
Er 0.500 0.000 0.000
Er 0.500 0.500 0.500
Ni 0.250 0.250 0.750
Ni 0.250 0.750 0.250
Ni 0.750 0.250 0.250
Ni 0.750 0.750 0.750

Output
Its energy relative to the elements is -119 meV/atom. The symmetry is F-43m (216). The total magnetization comes out at 0.001 μB/cell.

---

A plane-wave DFT calculation with GGA-PBE was carried out for Ta4Bi3W2C3 after structural relaxation.

Cell: 5.654 5.654 15.181 Å, 102.49 102.49 59.81°
Sites, in units of the cell vectors:
Ta 0.137 0.798 0.923
Ta 0.138 0.471 0.423
Ta 0.202 0.863 0.577
Ta 0.471 0.138 0.923
Ta 0.529 0.862 0.077
Ta 0.798 0.137 0.423
Ta 0.862 0.529 0.577
Ta 0.863 0.202 0.077
Bi 0.040 0.302 0.757
Bi 0.302 0.040 0.257
Bi 0.375 0.625 0.750
Bi 0.625 0.375 0.250
Bi 0.698 0.960 0.743
Bi 0.960 0.698 0.243
W 0.190 0.527 0.071
W 0.473 0.810 0.429
W 0.527 0.190 0.571
W 0.810 0.473 0.929
C 0.162 0.170 0.499
C 0.170 0.162 0.999
C 0.500 0.500 0.000
C 0.500 0.500 0.500
C 0.830 0.838 0.001
C 0.838 0.830 0.501

Output
The symmetry is C2/c (15). The total magnetization comes out at 0.002 μB/cell. The energy comes out at -112.08 eV/f.u.

---

A plane-wave DFT calculation with GGA-PBE was carried out for SrPrDy after structural relaxation.

Cell: 8.224 8.224 8.224 Å, 90.00 90.00 90.00°
Sites, in units of the cell vectors:
Sr 0.000 0.000 0.000
Sr 0.000 0.500 0.500
Sr 0.500 0.000 0.500
Sr 0.500 0.500 0.000
Pr 0.250 0.250 0.250
Pr 0.250 0.750 0.750
Pr 0.750 0.250 0.750
Pr 0.750 0.750 0.250
Dy 0.000 0.000 0.500
Dy 0.000 0.500 0.000
Dy 0.500 0.000 0.000
Dy 0.500 0.500 0.500

Output
The symmetry is F-43m (216). The total magnetization comes out at 0.335 μB/cell. The energy comes out at -8.61 eV/f.u.

---

A plane-wave DFT calculation with GGA-PBE was carried out for HgPdNO after structural relaxation.

Cell: 3.691 5.583 5.930 Å, 90.00 90.00 90.00°
Sites, in units of the cell vectors:
Hg 0.000 0.050 0.000
Hg 0.000 0.950 0.500
Pd 0.500 0.460 0.328
Pd 0.500 0.540 0.828
N 0.500 0.265 0.051
N 0.500 0.735 0.551
O 0.000 0.346 0.436
O 0.000 0.654 0.936

Output
The symmetry is Pmc2_1 (26). The energy comes out at -16.55 eV/f.u.

---

A plane-wave DFT calculation with GGA-PBE was carried out for TbTmTeC after structural relaxation.

Cell: 3.814 3.814 13.964 Å, 90.00 90.00 120.00°
Sites, in units of the cell vectors:
Tb 0.333 0.667 0.405
Tb 0.667 0.333 0.595
Tm 0.333 0.667 0.091
Tm 0.667 0.333 0.909
Te 0.333 0.667 0.755
Te 0.667 0.333 0.245
C 0.000 0.000 0.000
C 0.000 0.000 0.500

Output
The symmetry is P-3m1 (164). The total magnetization comes out at 0.007 μB/cell. The energy comes out at -24.96 eV/f.u.